Entry 1:
# GGA-PBE NbReP2S, relaxed
# formation energy without anion corrections	26.94	kcal/mol of atoms
# distance to the lowest polymorph of the same formula	265	meV/atom
# magnetic moment	4.3	μB per cell
data_NbReP2S
_cell_length_a 4.880
_cell_length_b 4.880
_cell_length_c 4.634
_cell_angle_alpha 90.00
_cell_angle_beta 90.00
_cell_angle_gamma 90.00
_symmetry_space_group_name_H-M 'P 4/m m m'
_symmetry_Int_Tables_number 123
_symmetry_space_group_name_Hall '-P 4 2'
loop_
_atom_site_label
_atom_site_fract_x
_atom_site_fract_y
_atom_site_fract_z
_atom_site_occupancy
Nb1 0.000 0.000 0.000 1
Re1 0.500 0.500 0.500 1
P1 0.000 0.500 0.000 1
S1 0.000 0.000 0.500 1


Entry 2:
# GGA-PBE NbReP2S, relaxed
# formation energy without anion corrections	20.83	kcal/mol of atoms
# distance to the lowest polymorph of the same formula	0	meV/atom
# magnetic moment	0.0	μB per cell
data_NbReP2S
_cell_length_a 4.572
_cell_length_b 4.572
_cell_length_c 4.617
_cell_angle_alpha 90.00
_cell_angle_beta 90.00
_cell_angle_gamma 90.00
_symmetry_space_group_name_H-M 'P 4/m m m'
_symmetry_Int_Tables_number 123
_symmetry_space_group_name_Hall '-P 4 2'
loop_
_atom_site_label
_atom_site_fract_x
_atom_site_fract_y
_atom_site_fract_z
_atom_site_occupancy
Nb1 0.000 0.000 0.000 1
Re1 0.500 0.500 0.500 1
P1 0.000 0.500 0.500 1
S1 0.500 0.500 0.000 1


Entry 3:
# GGA-PBE SrNbReP2, relaxed
# DFT formation energy	5.12	eV per formula unit
# magnetic moment	4.1	μB per cell
data_SrNbReP2
_cell_length_a 4.653
_cell_length_b 4.653
_cell_length_c 5.679
_cell_angle_alpha 90.00
_cell_angle_beta 90.00
_cell_angle_gamma 90.00
_symmetry_space_group_name_H-M 'P 4/m m m'
_symmetry_Int_Tables_number 123
_symmetry_space_group_name_Hall '-P 4 2'
loop_
_atom_site_label
_atom_site_fract_x
_atom_site_fract_y
_atom_site_fract_z
_atom_site_occupancy
Sr1 0.000 0.000 0.000 1
Nb1 0.500 0.500 0.000 1
Re1 0.000 0.000 0.500 1
P1 0.000 0.500 0.500 1


Entry 4:
# GGA-PBE TiNbReP2, relaxed
# DFT formation energy	6.87	eV per formula unit
# magnetic moment	2.6	μB per cell
data_TiNbReP2
_cell_length_a 4.704
_cell_length_b 4.704
_cell_length_c 4.720
_cell_angle_alpha 90.00
_cell_angle_beta 90.00
_cell_angle_gamma 90.00
_symmetry_space_group_name_H-M 'P 4/m m m'
_symmetry_Int_Tables_number 123
_symmetry_space_group_name_Hall '-P 4 2'
loop_
_atom_site_label
_atom_site_fract_x
_atom_site_fract_y
_atom_site_fract_z
_atom_site_occupancy
Ti1 0.000 0.000 0.000 1
Nb1 0.000 0.000 0.500 1
Re1 0.500 0.500 0.000 1
P1 0.000 0.500 0.500 1